No. 1
# CoRhN2

A crystal of CoRhN2 relaxed with PBEsol (meta-GGA SCAN, Alexandria).

Properties
Electronic total energy: -17.158 eV per atom

a b c (Å): 4.375 4.375 5.340
angles (deg): 114.18 114.18 90.00
Element x y z (fractional)
Rh (0.000, 0.000, 0.000)
Rh (0.250, 0.750, 0.500)
N (0.846, 0.375, 0.250)
N (0.625, 0.596, 0.750)
N (0.404, 0.875, 0.250)
N (0.125, 0.154, 0.750)
Co (0.750, 0.250, 0.500)
Co (0.500, 0.500, 0.000)

***

No. 2
# CoS3N

A crystal of CoS3N relaxed with PBEsol (meta-GGA SCAN, Alexandria).

Properties
Electronic total energy: -9.662 eV per atom

a b c (Å): 4.343 4.343 4.343
angles (deg): 90.00 90.00 90.00
Each line ends with the local moment (μB).
Element x y z (fractional)
S (0.000, 0.500, 0.000)  -0.41
S (0.000, 0.000, 0.500)  -0.41
S (0.500, 0.000, 0.000)  -0.41
Co (0.000, 0.000, 0.000)  -1.37
N (0.500, 0.500, 0.500)  1.75

***

No. 3
# Co2SN

A crystal of Co2SN relaxed with PBEsol (meta-GGA SCAN, Alexandria).

Properties
Electronic total energy: -13.470 eV per atom

a b c (Å): 4.399 4.399 5.700
angles (deg): 112.70 112.70 90.00
Element x y z (fractional)
Co (0.125, 0.197, 0.750)
Co (0.447, 0.875, 0.250)
Co (0.803, 0.375, 0.250)
Co (0.625, 0.553, 0.750)
S (0.000, 0.000, 0.000)
S (0.250, 0.750, 0.500)
N (0.750, 0.250, 0.500)
N (0.500, 0.500, 0.000)

***

| no. | formation energy without anion corrections (meV/atom) | DOS(E_F) (states/eV/atom) |
| --- | --- | --- |
| 1 | 257 | 0.668 |
| 2 | 1434 | 1.024 |
| 3 | -88 | 0.783 |